Record 1
Entry from OQMD via LeMat-Bulk: a relaxed structure of Ta2AsPd (GGA-PBE).

abc: 4.5921 4.5921 4.5921
angles: 60.00 60.00 60.00
Sites, in units of the cell vectors:
As1 0.5000 0.5000 0.5000
Pd1 0.2500 0.2500 0.2500
Ta1 0.0000 0.0000 0.0000
Ta2 0.7500 0.7500 0.7500

Crystal system: cubic
Total magnetization: 0.004 μB/atom
Space group: F-43m
Calculated total energy: -32.6 eV/cell

---

Record 2
Entry from OQMD via LeMat-Bulk: a relaxed structure of HoLu3Sc2Te2Os (GGA-PBE).

abc: 3.9487 8.0371 8.0371
angles: 120.03 90.00 90.00
Sites, in units of the cell vectors:
Ho1 0.0000 0.3887 0.3887
Lu1 0.5000 0.9964 0.2391
Lu2 0.5000 0.7593 0.7593
Lu3 0.5000 0.2391 0.9964
Os1 0.0000 0.9979 0.9979
Sc1 0.0000 0.9997 0.6159
Sc2 0.0000 0.6159 0.9997
Te1 0.5000 0.6706 0.3324
Te2 0.5000 0.3324 0.6706

Crystal system: orthorhombic
Total magnetization: 0.000 μB/atom
Space group: Amm2
Calculated total energy: -54.5 eV/cell

---

Record 3
Entry from OQMD via LeMat-Bulk: a relaxed structure of PdSe4S2Br2 (GGA-PBE).

abc: 4.7698 7.6191 8.0183
angles: 64.93 85.47 80.24
Sites, in units of the cell vectors:
Br1 0.6263 0.1671 0.1386
Br2 0.3737 0.8329 0.8614
Pd1 0.0000 0.0000 0.0000
S1 0.1211 0.7327 0.2773
S2 0.8789 0.2673 0.7227
Se1 0.9404 0.4870 0.2461
Se2 0.1649 0.2188 0.4985
Se3 0.8351 0.7812 0.5015
Se4 0.0596 0.5130 0.7539

Crystal system: triclinic
Space group: P-1
E above lowest polymorph: 0.006 eV/atom
Calculated total energy: -31.6 eV/cell